1.
The following is a GGA-PBEsol calculation of crystalline DyHg2Pt at its relaxed geometry, from the Alexandria database.

Structure (POSCAR):
```
DyHg2Pt
1.0
4.030 0.000 0.000
-2.015 4.935 0.000
0.000 0.000 8.497
Hg Dy Pt
4 2 2
direct
0.363 0.725 0.454 Hg
0.363 0.725 0.046 Hg
0.637 0.275 0.954 Hg
0.637 0.275 0.546 Hg
0.932 0.864 0.750 Dy
0.068 0.136 0.250 Dy
0.229 0.458 0.750 Pt
0.771 0.542 0.250 Pt
```

Energy of formation from the pure elements in eV/atom: -0.629
SG: Cmcm

2.
The following is a GGA-PBEsol calculation of crystalline SmDyHg2 at its relaxed geometry, from the Alexandria database.

Structure (POSCAR):
```
SmDyHg2
1.0
5.214 0.000 0.000
2.607 4.515 0.000
2.607 1.505 4.257
Sm Hg Dy
1 2 1
direct
0.000 0.000 0.000 Sm
0.750 0.750 0.750 Hg
0.250 0.250 0.250 Hg
0.500 0.500 0.500 Dy
```

Energy of formation from the pure elements in eV/atom: -0.559
SG: Fm-3m

3.
The following is a GGA-PBEsol calculation of crystalline TbDyHg2 at its relaxed geometry, from the Alexandria database.

Structure (POSCAR):
```
TbDyHg2
1.0
-3.261 -2.751 2.929
-2.532 -4.030 -2.032
1.239 -4.819 1.424
Tb Dy Hg
1 1 2
direct
0.000 0.000 0.000 Tb
0.500 0.500 0.500 Dy
0.750 0.750 0.750 Hg
0.250 0.250 0.250 Hg
```

Energy of formation from the pure elements in eV/atom: -0.572
SG: Fm-3m

4.
The following is a GGA-PBEsol calculation of crystalline DyTmHg2 at its relaxed geometry, from the Alexandria database.

Structure (POSCAR):
```
DyTmHg2
1.0
5.135 0.000 0.000
2.568 4.447 0.000
2.568 1.482 4.193
Tm Dy Hg
1 1 2
direct
0.000 0.000 0.000 Tm
0.500 0.500 0.500 Dy
0.250 0.250 0.250 Hg
0.750 0.750 0.750 Hg
```

Energy of formation from the pure elements in eV/atom: -0.578
SG: Fm-3m

5.
The following is a GGA-PBEsol calculation of crystalline Dy2ZnHg at its relaxed geometry, from the Alexandria database.

Structure (POSCAR):
```
Dy2ZnHg
1.0
5.076 0.000 0.000
2.538 4.396 0.000
2.538 1.465 4.145
Hg Dy Zn
1 2 1
direct
0.500 0.500 0.500 Hg
0.750 0.750 0.750 Dy
0.250 0.250 0.250 Dy
0.000 0.000 0.000 Zn
```

Energy of formation from the pure elements in eV/atom: -0.439
SG: Fm-3m

6.
The following is a GGA-PBEsol calculation of crystalline DyHoIn2 at its relaxed geometry, from the Alexandria database.

Structure (POSCAR):
```
DyHoIn2
1.0
-1.960 -4.521 1.687
3.199 -3.832 1.487
0.366 -1.280 5.036
In Dy Ho
2 1 1
direct
0.250 0.250 0.250 In
0.750 0.750 0.750 In
0.500 0.500 0.500 Dy
0.000 0.000 0.000 Ho
```

Energy of formation from the pure elements in eV/atom: -0.513
SG: Fm-3m

Repeat the third record exactly.
The following is a GGA-PBEsol calculation of crystalline TbDyHg2 at its relaxed geometry, from the Alexandria database.

Structure (POSCAR):
```
TbDyHg2
1.0
-3.261 -2.751 2.929
-2.532 -4.030 -2.032
1.239 -4.819 1.424
Tb Dy Hg
1 1 2
direct
0.000 0.000 0.000 Tb
0.500 0.500 0.500 Dy
0.750 0.750 0.750 Hg
0.250 0.250 0.250 Hg
```

Energy of formation from the pure elements in eV/atom: -0.572
SG: Fm-3m